Crystalline Ca5AlHg4 at its relaxed geometry. Source: Alexandria, functional PBE-GGA.

Cell: 3.7713 3.7713 18.9033 Å, 90.00 90.00 90.00°
Fractional coordinates of all 10 atoms:
Ca 0.0000 0.0000 0.0000
Ca 0.0000 0.0000 0.2028
Ca 0.0000 0.0000 0.4028
Ca 0.0000 0.0000 0.5972
Ca 0.0000 0.0000 0.7972
Al 0.5000 0.5000 0.5000
Hg 0.5000 0.5000 0.1008
Hg 0.5000 0.5000 0.3050
Hg 0.5000 0.5000 0.6950
Hg 0.5000 0.5000 0.8992

Spin magnetization in μB/cell: 0.0
Energy in eV per atom: -1.978
Calculated density in Mg/m³: 6.36
Calculated formation energy in eV per atom: -0.482
Volume in Å³ per atom: 26.89